Below is a geometry-optimized La2SiSe structure, with properties calculated at the PBE-GGA level.

Output
energy above the most stable polymorph in this dataset = 22.9 kJ/mol of atoms
N(E_F) = 2.41 states/eV per cell
electronic total energy = -5.82 eV per atom
ΔE_f (raw) = -1130.1 meV per atom

Cell: 3.5812 3.6403 7.8467 Å, 90.00 90.38 90.00°
Last column: nearest neighbours and their distance in Å.
Space group P2/m (No. 10)
Symmetry-distinct sites (fractional):
La1 0.0074 0.0000 0.2517 (multiplicity 2)  4 Si 3.19-3.23, 4 Se 3.22-3.24
Si1 0.5000 0.5000 0.5000 (multiplicity 1)  8 La 3.19-3.23
Se1 0.5000 0.5000 0.0000 (multiplicity 1)  8 La 3.22-3.24, 2 Se 3.58